Entry 1
Entry from Alexandria via LeMat-Bulk: an optimized crystal structure of Ce2EuN (GGA-PBE).

Geometry as POSCAR:
```
Ce2EuN
1.0
3.141 0.000 0.000
0.000 3.141 0.000
0.000 0.000 9.370
Ce Eu N
2 1 1
Direct
0.000 0.000 0.150
0.000 0.000 0.850
0.500 0.500 0.500
0.500 0.500 0.000
```

Output
symmetry: P4/mmm


Entry 2
Entry from Alexandria via LeMat-Bulk: an optimized crystal structure of Ce2EuN (GGA-PBE).

Geometry as POSCAR:
```
Ce2EuN
1.0
1.788 1.033 9.405
-1.788 1.033 9.405
0.000 -2.065 9.405
Ce Eu N
2 1 1
Direct
0.216 0.216 0.216
0.784 0.784 0.784
0.000 0.000 0.000
0.500 0.500 0.500
```

Output
symmetry: R-3m


Relative energies, kJ/mol of atoms: entry 1 35.8; entry 2 0.0.


Entry 1
Entry from Alexandria via LeMat-Bulk: an optimized crystal structure of CeEuNi (GGA-PBE).

Geometry as POSCAR:
```
CeEuNi
1.0
-1.758 1.758 6.277
1.758 -1.758 6.277
1.758 1.758 -6.277
Ce Eu Ni
1 1 1
Direct
0.000 0.000 0.000
0.737 0.737 0.000
0.394 0.394 0.000
```

Output
symmetry: I4mm


Entry 2
Entry from Alexandria via LeMat-Bulk: an optimized crystal structure of CeEuNi (GGA-PBE).

Geometry as POSCAR:
```
CeEuNi
1.0
4.446 0.000 0.000
-2.223 3.851 0.000
0.000 0.000 4.486
Ce Eu Ni
1 1 1
Direct
0.000 0.000 0.000
0.333 0.667 0.535
0.667 0.333 0.101
```

Output
symmetry: P3m1


Relative energies, kJ/mol of atoms: entry 1 0.0; entry 2 16.1.


Entry 1
Entry from Alexandria via LeMat-Bulk: an optimized crystal structure of SrCeEuSbO6 (GGA-PBE).

Geometry as POSCAR:
```
SrCeEuSbO6
1.0
5.959 0.000 0.000
0.000 5.959 0.000
0.000 0.000 8.648
Sr Ce Eu Sb O
2 2 2 2 12
Direct
0.000 0.500 0.250
0.500 0.000 0.750
0.000 0.000 0.500
0.500 0.500 0.000
0.000 0.500 0.750
0.500 0.000 0.250
0.000 0.000 0.000
0.500 0.500 0.500
0.000 0.000 0.237
0.000 0.000 0.763
0.166 0.302 0.998
0.198 0.334 0.502
0.302 0.834 0.002
0.334 0.802 0.498
0.500 0.500 0.263
0.500 0.500 0.737
0.666 0.198 0.498
0.698 0.166 0.002
0.802 0.666 0.502
0.834 0.698 0.998
```

Output
symmetry: P-4n2


Entry 2
Entry from Alexandria via LeMat-Bulk: an optimized crystal structure of SrCeEuSbO6 (GGA-PBE).

Geometry as POSCAR:
```
SrCeEuSbO6
1.0
0.000 4.289 4.289
4.289 0.000 4.289
4.289 4.289 0.000
Sr Ce Eu Sb O
1 1 1 1 6
Direct
0.000 0.000 0.000
0.750 0.750 0.750
0.500 0.500 0.500
0.250 0.250 0.250
0.015 0.015 0.485
0.015 0.485 0.015
0.015 0.485 0.485
0.485 0.015 0.015
0.485 0.015 0.485
0.485 0.485 0.015
```

Output
symmetry: F-43m


Relative energies, kJ/mol of atoms: entry 1 0.0; entry 2 5.2.


Entry 1
Entry from Alexandria via LeMat-Bulk: an optimized crystal structure of Ce2EuOs (GGA-PBE).

Geometry as POSCAR:
```
Ce2EuOs
1.0
2.366 1.366 5.102
-2.366 1.366 5.102
0.000 -2.732 5.102
Ce Eu Os
2 1 1
Direct
0.236 0.236 0.236
0.764 0.764 0.764
0.000 0.000 0.000
0.500 0.500 0.500
```

Output
symmetry: R-3m


Entry 2
Entry from Alexandria via LeMat-Bulk: an optimized crystal structure of Ce2EuOs (GGA-PBE).

Geometry as POSCAR:
```
Ce2EuOs
1.0
3.621 0.000 0.000
0.000 3.621 0.000
0.000 0.000 8.411
Ce Eu Os
2 1 1
Direct
0.000 0.000 0.182
0.000 0.000 0.818
0.500 0.500 0.500
0.500 0.500 0.000
```

Output
symmetry: P4/mmm


Relative energies, kJ/mol of atoms: entry 1 9.7; entry 2 0.0.